Entry 1:
Below is YErCdAg after structural relaxation, with properties calculated at the PBE-GGA level.

Distance to the lowest polymorph of the same formula: 0.00 eV/f.u.
Formation enthalpy at 0 K: -329 meV/atom
DFT total energy: -16.110 eV/cell
M_tot: 0.00 μB per atom

a b c (Å): 3.6805 3.6805 7.3417
angles (deg): 90.00 90.00 90.00
Element x y z (fractional)
Ag1 0.0000 0.0000 0.3496
Cd1 0.0000 0.0000 0.8623
Er1 0.5000 0.5000 0.1161
Y1 0.5000 0.5000 0.5999


Entry 2:
Below is ErZnCdAg after structural relaxation, with properties calculated at the PBE-GGA level.

Formation enthalpy at 0 K: -291 meV/atom
DFT total energy: -10.768 eV/cell
M_tot: 0.00 μB per atom

a b c (Å): 4.8525 4.8525 4.8525
angles (deg): 60.00 60.00 60.00
Element x y z (fractional)
Er1 0.2500 0.2500 0.2500
Cd1 0.7500 0.7500 0.7500
Zn1 0.5000 0.5000 0.5000
Ag1 0.0000 0.0000 0.0000


Entry 3:
Below is ErZrCdAg after structural relaxation, with properties calculated at the PBE-GGA level.

Formation enthalpy at 0 K: -111 meV/atom
DFT total energy: -17.321 eV/cell
M_tot: 0.29 μB per atom

a b c (Å): 5.0526 5.0526 5.0526
angles (deg): 60.00 60.00 60.00
Element x y z (fractional)
Ag1 0.2500 0.2500 0.2500
Er1 0.0000 0.0000 0.0000
Zr1 0.5000 0.5000 0.5000
Cd1 0.7500 0.7500 0.7500


Entry 4:
Below is EuCdAg2 after structural relaxation, with properties calculated at the PBE-GGA level.

Distance to the lowest polymorph of the same formula: 0.00 eV/f.u.
Formation enthalpy at 0 K: -222 meV/atom
DFT total energy: -17.781 eV/cell
M_tot: 1.78 μB per atom

a b c (Å): 5.1043 5.1043 5.1043
angles (deg): 60.00 60.00 60.00
Element x y z (fractional)
Cd1 0.5000 0.5000 0.5000
Ag1 0.7500 0.7500 0.7500
Ag2 0.2500 0.2500 0.2500
Eu1 0.0000 0.0000 0.0000


Entry 5:
Below is EuCdAg after structural relaxation, with properties calculated at the PBE-GGA level.

Formation enthalpy at 0 K: -190 meV/atom
DFT total energy: -14.611 eV/cell
M_tot: 2.44 μB per atom

a b c (Å): 5.0088 5.0088 5.0088
angles (deg): 60.00 60.00 60.00
Element x y z (fractional)
Eu1 0.0000 0.0000 0.0000
Ag1 0.2500 0.2500 0.2500
Cd1 0.5000 0.5000 0.5000


Entry 6:
Below is EuCd4Ag after structural relaxation, with properties calculated at the PBE-GGA level.

Formation enthalpy at 0 K: -130 meV/atom
DFT total energy: -17.565 eV/cell
M_tot: 1.22 μB per atom

a b c (Å): 5.8926 5.8926 5.8926
angles (deg): 60.00 60.00 60.00
Element x y z (fractional)
Cd1 0.6254 0.6254 0.1239
Cd2 0.6254 0.1239 0.6254
Cd3 0.1239 0.6254 0.6254
Eu1 0.2500 0.2500 0.2500
Ag1 0.0000 0.0000 0.0000
Cd4 0.6254 0.6254 0.6254


Entry 7:
Below is EuCdAg after structural relaxation, with properties calculated at the PBE-GGA level.

Formation enthalpy at 0 K: -258 meV/atom
DFT total energy: -14.816 eV/cell
M_tot: 2.38 μB per atom

a b c (Å): 3.7604 3.7604 6.0360
angles (deg): 108.15 108.15 90.00
Element x y z (fractional)
Eu1 0.9528 0.9528 0.9057
Ag1 0.6352 0.6352 0.2704
Cd1 0.2620 0.2620 0.5239


Entry 8:
Below is Eu2CdAg after structural relaxation, with properties calculated at the PBE-GGA level.

Formation enthalpy at 0 K: -320 meV/atom
DFT total energy: -25.595 eV/cell
M_tot: 3.62 μB per atom

a b c (Å): 3.8617 3.8617 7.8105
angles (deg): 90.00 90.00 90.00
Element x y z (fractional)
Cd1 0.5000 0.5000 0.5000
Eu1 0.0000 0.0000 0.7587
Eu2 0.0000 0.0000 0.2413
Ag1 0.5000 0.5000 0.0000


Look up the DFT total energy of the first one. -16.110 eV/cell


Which value of M_tot does entry 8 give? 3.62 μB per atom


Which of these has the lowest DFT total energy? Eu2CdAg